The following is a PBE calculation of Li2NiHg after structural relaxation, from Alexandria.

Summary:
Its crystal system is orthorhombic. For the total energy, the calculation gives -2.607 eV per atom. The calculation puts the mass density at 7.739 g/cm3. For the calculated formation energy, the calculation gives -0.13 eV per atom.

abc: 3.842 3.856 7.912
angles: 90.00 90.00 90.00
Space group Immm (No. 71)
Asymmetric unit:
Li1 0.000 0.000 0.250
Ni1 0.000 0.500 0.000
Hg1 0.000 0.500 0.500

=====

The following is a PBE calculation of LiNiHg4 after structural relaxation, from Alexandria.

Summary:
Its crystal system is cubic. For the total energy, the calculation gives -1.134 eV per atom. The calculation puts the mass density at 10.633 g/cm3. For the calculated formation energy, the calculation gives 0.35 eV per atom.

abc: 8.154 8.154 8.154
angles: 90.00 90.00 90.00
Space group F-43m (No. 216)
Asymmetric unit:
Li1 0.000 0.000 0.000
Ni1 0.250 0.250 0.750
Hg1 0.125 0.125 0.375

=====

The following is a PBE calculation of Li2Ni2Hg after structural relaxation, from Alexandria.

Summary:
Its crystal system is tetragonal. For the total energy, the calculation gives -2.830 eV per atom. The calculation puts the mass density at 7.394 g/cm3. For the calculated formation energy, the calculation gives 0.31 eV per atom.

abc: 3.523 3.523 12.011
angles: 90.00 90.00 90.00
Space group I4/mmm (No. 139)
Asymmetric unit:
Li1 0.000 0.500 0.250
Ni1 0.000 0.000 0.098
Hg1 0.000 0.000 0.500

=====

The following is a PBE calculation of Li2NiHg2 after structural relaxation, from Alexandria.

Summary:
Its crystal system is tetragonal. For the total energy, the calculation gives -1.950 eV per atom. The calculation puts the mass density at 9.059 g/cm3. For the calculated formation energy, the calculation gives 0.09 eV per atom.

abc: 3.530 3.530 13.937
angles: 90.00 90.00 90.00
Space group I4/mmm (No. 139)
Asymmetric unit:
Li1 0.000 0.500 0.250
Ni1 0.000 0.000 0.000
Hg1 0.000 0.000 0.397

=====

The following is a PBE calculation of Li2NiHg after structural relaxation, from Alexandria.

Summary:
Its crystal system is orthorhombic. For the total energy, the calculation gives -2.528 eV per atom. The calculation puts the mass density at 7.361 g/cm3. For the calculated formation energy, the calculation gives -0.05 eV per atom.

abc: 2.851 3.903 5.538
angles: 90.00 90.00 90.00
Space group Pmm2 (No. 25)
Asymmetric unit:
Li1 0.000 0.000 0.000
Li2 0.500 0.500 0.265
Ni1 0.000 0.000 0.490
Hg1 0.500 0.500 0.739

=====

The following is a PBE calculation of LiNiHg after structural relaxation, from Alexandria.

Summary:
Its crystal system is orthorhombic. For the total energy, the calculation gives -2.689 eV per atom. The calculation puts the mass density at 9.715 g/cm3. For the calculated formation energy, the calculation gives -0.02 eV per atom.

abc: 2.901 3.817 8.220
angles: 90.00 90.00 90.00
Space group Imm2 (No. 44)
Asymmetric unit:
Li1 0.000 0.000 0.000
Ni1 0.000 0.000 0.662
Hg1 0.000 0.000 0.326

=====

The following is a PBE calculation of Li2NiHg after structural relaxation, from Alexandria.

Summary:
Its crystal system is tetragonal. For the total energy, the calculation gives -2.600 eV per atom. The calculation puts the mass density at 7.675 g/cm3. For the calculated formation energy, the calculation gives -0.12 eV per atom.

abc: 3.824 3.824 4.042
angles: 90.00 90.00 90.00
Space group P4/mmm (No. 123)
Asymmetric unit:
Li1 0.000 0.500 0.000
Ni1 0.000 0.000 0.500
Hg1 0.500 0.500 0.500

=====

The following is a PBE calculation of Li2Ni2Hg after structural relaxation, from Alexandria.

Summary:
Its crystal system is tetragonal. For the total energy, the calculation gives -2.999 eV per atom. The calculation puts the mass density at 8.314 g/cm3. For the calculated formation energy, the calculation gives 0.14 eV per atom.

abc: 6.792 6.792 2.874
angles: 90.00 90.00 90.00
Space group P4/mbm (No. 127)
Asymmetric unit:
Li1 0.124 0.376 0.000
Ni1 0.174 0.674 0.500
Hg1 0.000 0.000 0.000

=====

Copy entry 7 word for word.
The following is a PBE calculation of Li2NiHg after structural relaxation, from Alexandria.

Summary:
Its crystal system is tetragonal. For the total energy, the calculation gives -2.600 eV per atom. The calculation puts the mass density at 7.675 g/cm3. For the calculated formation energy, the calculation gives -0.12 eV per atom.

abc: 3.824 3.824 4.042
angles: 90.00 90.00 90.00
Space group P4/mmm (No. 123)
Asymmetric unit:
Li1 0.000 0.500 0.000
Ni1 0.000 0.000 0.500
Hg1 0.500 0.500 0.500